A plane-wave DFT calculation with PBE was carried out for crystalline K2Pa2Cl2O5 at its relaxed geometry.

Structure (CIF):
```
data_K2Pa2Cl2O5
_cell_length_a 4.293
_cell_length_b 4.293
_cell_length_c 13.295
_cell_angle_alpha 99.29
_cell_angle_beta 99.29
_cell_angle_gamma 90.00
_space_group_name_H-M_alt 'P 1'
_space_group_IT_number 1
loop_
_space_group_symop_operation_xyz
'x,y,z'
loop_
_atom_site_label
_atom_site_fract_x
_atom_site_fract_y
_atom_site_fract_z
K1 0.324 0.324 0.648
K2 0.676 0.676 0.352
Pa1 0.082 0.082 0.164
Pa2 0.918 0.918 0.836
Cl1 0.195 0.195 0.390
Cl2 0.805 0.805 0.610
O1 0.000 0.000 0.000
O2 0.593 0.093 0.187
O3 0.907 0.407 0.813
O4 0.093 0.593 0.187
O5 0.407 0.907 0.813
```

Calculated values
* energy relative to the elements, uncorrected: -2941 meV/atom
* size of the total moment: 0.00 μB per formula unit